The following is a PBE-GGA calculation of crystalline Sb2IrC3O3F13 at its relaxed geometry, from OQMD.

POSCAR file:
```
Sb2IrC3O3F13
1.0
7.9922 0.0000 0.0000
0.0929 8.0059 0.0000
1.5976 2.7307 8.6198
F C O Sb Ir
26 6 6 4 2
Direct
0.4796 0.7330 0.8030
0.9998 0.4532 0.6489
0.5634 0.1733 0.7604
0.7200 0.9596 0.2464
0.8648 0.7758 0.4893
0.8081 0.6681 0.7968
0.5204 0.2670 0.1970
0.2800 0.0404 0.7536
0.4184 0.3738 0.9268
0.0922 0.2417 0.9175
0.3581 0.4905 0.3555
0.4366 0.8267 0.2396
0.7180 0.9926 0.6206
0.6419 0.5095 0.6445
0.3331 0.0321 0.0244
0.1919 0.3319 0.2032
0.6757 0.5945 0.3421
0.5816 0.6262 0.0732
0.1352 0.2242 0.5107
0.5152 0.8035 0.5047
0.0002 0.5468 0.3511
0.3243 0.4055 0.6579
0.6669 0.9679 0.9756
0.4848 0.1965 0.4953
0.9078 0.7583 0.0825
0.2820 0.0074 0.3794
0.1813 0.7124 0.5134
0.9122 0.0940 0.7568
0.7889 0.3256 0.9138
0.2111 0.6744 0.0862
0.8187 0.2876 0.4866
0.0878 0.9060 0.2432
0.8006 0.3439 0.0296
0.1718 0.7301 0.6327
0.1994 0.6561 0.9704
0.9770 0.9634 0.7876
0.8282 0.2699 0.3673
0.0230 0.0366 0.2124
0.3243 0.2178 0.8405
0.3315 0.2440 0.3553
0.6757 0.7822 0.1595
0.6685 0.7560 0.6447
0.2029 0.6984 0.2959
0.7971 0.3016 0.7041
```

Values from the calculation:
E: -240.7 eV for the cell shown
ρ: 4.62 Mg/m³